1.
! SrNpAg2O6 | the Alexandria database | GGA-PBE | relaxed; values from VASP
! - Total energy: -135.03 eV per cell
! - D(E_F): 6.77 states/eV per cell
! - Formation energy from raw total energies: -1.74 eV per atom
&SYSTEM
  ibrav = 0, nat = 20, ntyp = 4
/
ATOMIC_SPECIES
Sr 87.62 Sr.upf
Np 237.00 Np.upf
Ag 107.87 Ag.upf
O 16.00 O.upf
CELL_PARAMETERS angstrom
5.649 0.000 0.000
0.000 6.086 0.000
-5.197 0.000 8.694
ATOMIC_POSITIONS crystal
Sr 0.000 0.000 0.000
Sr 0.000 0.500 0.500
Np 0.500 0.000 0.500
Np 0.500 0.500 0.000
Ag 0.241 0.071 0.736
Ag 0.241 0.429 0.236
Ag 0.759 0.571 0.764
Ag 0.759 0.929 0.264
O 0.139 0.090 0.281
O 0.139 0.410 0.781
O 0.283 0.668 0.069
O 0.283 0.832 0.569
O 0.440 0.230 0.090
O 0.440 0.270 0.590
O 0.560 0.730 0.410
O 0.560 0.770 0.910
O 0.717 0.168 0.431
O 0.717 0.332 0.931
O 0.861 0.590 0.219
O 0.861 0.910 0.719



2.
! Ho2In5I12 | the Alexandria database | GGA-PBE | relaxed; values from VASP
! - Total energy: -56.72 eV per cell
! - D(E_F): 6.24 states/eV per cell
! - Formation energy from raw total energies: -0.80 eV per atom
&SYSTEM
  ibrav = 0, nat = 19, ntyp = 3
/
ATOMIC_SPECIES
Ho 164.93 Ho.upf
In 114.82 In.upf
I 126.90 I.upf
CELL_PARAMETERS angstrom
9.495 -4.432 0.000
9.495 4.432 0.000
-3.706 0.000 10.177
ATOMIC_POSITIONS crystal
Ho 0.245 0.755 0.000
Ho 0.755 0.245 0.000
In 0.181 0.181 0.822
In 0.227 0.227 0.369
In 0.500 0.500 0.500
In 0.773 0.773 0.631
In 0.819 0.819 0.178
I 0.008 0.008 0.204
I 0.073 0.595 0.912
I 0.130 0.616 0.433
I 0.384 0.870 0.567
I 0.405 0.927 0.088
I 0.496 0.496 0.807
I 0.504 0.504 0.193
I 0.595 0.073 0.912
I 0.616 0.130 0.433
I 0.870 0.384 0.567
I 0.927 0.405 0.088
I 0.992 0.992 0.796



3.
! AlPt4Br | the Alexandria database | GGA-PBE | relaxed; values from VASP
! - Total energy: -27.88 eV per cell
! - D(E_F): 6.12 states/eV per cell
! - Formation energy from raw total energies: 0.28 eV per atom
&SYSTEM
  ibrav = 0, nat = 6, ntyp = 3
/
ATOMIC_SPECIES
Al 26.98 Al.upf
Pt 195.08 Pt.upf
Br 79.90 Br.upf
CELL_PARAMETERS angstrom
0.000 3.785 3.785
3.785 0.000 3.785
3.785 3.785 0.000
ATOMIC_POSITIONS crystal
Al 0.000 0.000 0.000
Pt 0.375 0.375 0.375
Pt 0.375 0.375 0.876
Pt 0.375 0.876 0.375
Pt 0.876 0.375 0.375
Br 0.750 0.750 0.750